# 1
Computed, not measured: crystalline TlMoAs2 at its relaxed geometry at the PBEsol level of DFT.

a = 4.068 Å, b = 4.068 Å, c = 4.651 Å
α = 90.00°, β = 90.00°, γ = 90.00°
Space group P4/mmm (No. 123)
Asymmetric unit:
Tl 0.000 0.000 0.000 [1 per cell]
Mo 0.500 0.500 0.000 [1 per cell]
As 0.000 0.500 0.500 [2 per cell]

density	9.7	g/cm³
excess energy over the best structure of this formula in the dataset	797	meV/atom
total magnetic moment	0.57	μB per atom



# 2
Computed, not measured: crystalline MoAsW2 at its relaxed geometry at the PBEsol level of DFT.

a = 2.8988 Å, b = 2.8988 Å, c = 25.6124 Å
α = 90.00°, β = 90.00°, γ = 120.00°
Space group R-3m (No. 166, hexagonal axes)
Asymmetric unit:
Mo 0.0000 0.0000 0.0000 [3 per cell]
As 0.0000 0.0000 0.5000 [3 per cell]
W 0.0000 0.0000 0.2477 [6 per cell]

density	14.4	g/cm³
E_tot	-10.71	eV per atom
total magnetic moment	0.00	μB per atom



# 3
Computed, not measured: crystalline MoAsW2 at its relaxed geometry at the PBEsol level of DFT.

a = 3.158 Å, b = 3.158 Å, c = 6.147 Å
α = 90.00°, β = 90.00°, γ = 90.00°
Space group P4mm (No. 99)
Asymmetric unit:
Mo 0.000 0.000 0.000 [1 per cell]
As 0.500 0.500 0.743 [1 per cell]
W 0.000 0.000 0.507 [1 per cell]
W 0.500 0.500 0.239 [1 per cell]

density	14.6	g/cm³
E_tot	-10.91	eV per atom
total magnetic moment	0.00	μB per atom



# 4
Computed, not measured: crystalline YMoAs2 at its relaxed geometry at the PBEsol level of DFT.

a = 3.8821 Å, b = 3.8821 Å, c = 18.0221 Å
α = 90.00°, β = 90.00°, γ = 120.00°
Space group R-3m (No. 166, hexagonal axes)
Asymmetric unit:
Y 0.0000 0.0000 0.0000 [3 per cell]
Mo 0.0000 0.0000 0.5000 [3 per cell]
As 0.0000 0.0000 0.2384 [6 per cell]

density	7.1	g/cm³
excess energy over the best structure of this formula in the dataset	5	meV/atom
total magnetic moment	0.25	μB per atom



# 5
Computed, not measured: crystalline YMo2As at its relaxed geometry at the PBEsol level of DFT.

a = 3.301 Å, b = 4.302 Å, c = 5.307 Å
α = 90.00°, β = 106.15°, γ = 90.00°
Space group Pm (No. 6)
Asymmetric unit:
Y 0.000 0.000 0.000 [1 per cell]
Mo 0.259 0.500 0.570 [1 per cell]
Mo 0.677 0.000 0.483 [1 per cell]
As 0.577 0.500 0.173 [1 per cell]

density	8.2	g/cm³
E_tot	-8.99	eV per atom
total magnetic moment	0.00	μB per atom



# 6
Computed, not measured: crystalline YMoAs2 at its relaxed geometry at the PBEsol level of DFT.

a = 3.373 Å, b = 3.560 Å, c = 12.869 Å
α = 90.00°, β = 90.00°, γ = 90.00°
Space group Imm2 (No. 44)
Asymmetric unit:
Y 0.000 0.000 0.000 [2 per cell]
Mo 0.000 0.500 0.251 [2 per cell]
As 0.000 0.000 0.608 [2 per cell]
As 0.000 0.500 0.827 [2 per cell]

density	7.2	g/cm³
excess energy over the best structure of this formula in the dataset	0	meV/atom
total magnetic moment	0.00	μB per atom



# 7
Computed, not measured: crystalline YMoAs2 at its relaxed geometry at the PBEsol level of DFT.

a = 3.200 Å, b = 3.200 Å, c = 6.893 Å
α = 90.00°, β = 90.00°, γ = 90.00°
Space group P4/mmm (No. 123)
Asymmetric unit:
Y 0.000 0.000 0.000 [1 per cell]
Mo 0.000 0.000 0.500 [1 per cell]
As 0.500 0.500 0.289 [2 per cell]

density	7.9	g/cm³
excess energy over the best structure of this formula in the dataset	45	meV/atom
total magnetic moment	0.00	μB per atom



# 8
Computed, not measured: crystalline YMo2As at its relaxed geometry at the PBEsol level of DFT.

a = 3.607 Å, b = 4.031 Å, c = 9.865 Å
α = 90.00°, β = 90.00°, γ = 90.00°
Space group Immm (No. 71)
Asymmetric unit:
Y 0.000 0.000 0.000 [2 per cell]
Mo 0.000 0.500 0.249 [4 per cell]
As 0.000 0.000 0.500 [2 per cell]

density	8.2	g/cm³
E_tot	-8.76	eV per atom
total magnetic moment	0.00	μB per atom



# 9
Computed, not measured: crystalline YMoAs2 at its relaxed geometry at the PBEsol level of DFT.

a = 5.569 Å, b = 5.569 Å, c = 13.385 Å
α = 90.00°, β = 90.00°, γ = 90.00°
Space group I-42d (No. 122)
Asymmetric unit:
Y 0.000 0.000 0.000 [4 per cell]
Mo 0.000 0.000 0.500 [4 per cell]
As 0.183 0.250 0.625 [8 per cell]

density	5.4	g/cm³
excess energy over the best structure of this formula in the dataset	555	meV/atom
total magnetic moment	0.22	μB per atom



# 10
Computed, not measured: crystalline YMo2As at its relaxed geometry at the PBEsol level of DFT.

a = 4.359 Å, b = 4.359 Å, c = 7.248 Å
α = 90.00°, β = 90.00°, γ = 90.00°
Space group I-4m2 (No. 119)
Asymmetric unit:
Y 0.000 0.000 0.000 [2 per cell]
Mo 0.000 0.000 0.500 [2 per cell]
Mo 0.000 0.500 0.250 [2 per cell]
As 0.000 0.500 0.750 [2 per cell]

density	8.6	g/cm³
E_tot	-8.76	eV per atom
total magnetic moment	0.00	μB per atom



# 11
Computed, not measured: crystalline YMo2As at its relaxed geometry at the PBEsol level of DFT.

a = 3.2406 Å, b = 3.2406 Å, c = 24.6753 Å
α = 90.00°, β = 90.00°, γ = 120.00°
Space group R3m (No. 160, hexagonal axes)
Asymmetric unit:
Y 0.0000 0.0000 0.0000 [3 per cell]
Mo 0.0000 0.0000 0.2396 [3 per cell]
Mo 0.0000 0.0000 0.4996 [3 per cell]
As 0.0000 0.0000 0.7611 [3 per cell]

density	7.9	g/cm³
E_tot	-8.76	eV per atom
total magnetic moment	0.00	μB per atom



# 12
Computed, not measured: crystalline YMoAs2 at its relaxed geometry at the PBEsol level of DFT.

a = 3.920 Å, b = 3.920 Å, c = 9.709 Å
α = 90.00°, β = 90.00°, γ = 90.00°
Space group I-4m2 (No. 119)
Asymmetric unit:
Y 0.000 0.000 0.000 [2 per cell]
Mo 0.000 0.500 0.750 [2 per cell]
As 0.000 0.000 0.500 [2 per cell]
As 0.000 0.500 0.250 [2 per cell]

density	7.5	g/cm³
excess energy over the best structure of this formula in the dataset	450	meV/atom
total magnetic moment	0.43	μB per atom



# 13
Computed, not measured: crystalline Y2MoAs at its relaxed geometry at the PBEsol level of DFT.

a = 4.148 Å, b = 3.943 Å, c = 10.727 Å
α = 90.00°, β = 90.00°, γ = 90.00°
Space group Amm2 (No. 38)
Asymmetric unit:
Y 0.000 0.000 0.000 [2 per cell]
Y 0.500 0.000 0.284 [2 per cell]
Mo 0.500 0.000 0.566 [2 per cell]
As 0.000 0.000 0.711 [2 per cell]

density	6.6	g/cm³
E_tot	-8.06	eV per atom
total magnetic moment	0.00	μB per atom



# 14
Computed, not measured: crystalline ZnMo4As at its relaxed geometry at the PBEsol level of DFT.

a = 7.309 Å, b = 7.309 Å, c = 7.309 Å
α = 90.00°, β = 90.00°, γ = 90.00°
Space group F-43m (No. 216)
Asymmetric unit:
Zn 0.000 0.000 0.000 [4 per cell]
Mo 0.126 0.126 0.626 [16 per cell]
As 0.250 0.250 0.250 [4 per cell]

density	8.9	g/cm³
E_tot	-8.37	eV per atom
total magnetic moment	0.00	μB per atom



# 15
Computed, not measured: crystalline ZnMoAs2 at its relaxed geometry at the PBEsol level of DFT.

a = 2.9360 Å, b = 2.9360 Å, c = 28.5031 Å
α = 90.00°, β = 90.00°, γ = 120.00°
Space group R3m (No. 160, hexagonal axes)
Asymmetric unit:
Zn 0.0000 0.0000 0.0000 [3 per cell]
Mo 0.0000 0.0000 0.2580 [3 per cell]
As 0.0000 0.0000 0.5239 [3 per cell]
As 0.0000 0.0000 0.7394 [3 per cell]

density	7.3	g/cm³
E_tot	-5.67	eV per atom
total magnetic moment	0.00	μB per atom



# 16
Computed, not measured: crystalline ZrZnMo2As at its relaxed geometry at the PBEsol level of DFT.

a = 4.680 Å, b = 4.680 Å, c = 4.923 Å
α = 90.00°, β = 90.00°, γ = 90.00°
Space group P4/mmm (No. 123)
Asymmetric unit:
Zr 0.000 0.000 0.000 [1 per cell]
Zn 0.000 0.000 0.500 [1 per cell]
Mo 0.000 0.500 0.000 [2 per cell]
As 0.500 0.500 0.500 [1 per cell]

density	6.5	g/cm³
E_tot	-6.02	eV per atom
total magnetic moment	0.01	μB per atom



# 17
Computed, not measured: crystalline ZrMo3As at its relaxed geometry at the PBEsol level of DFT.

a = 4.708 Å, b = 4.708 Å, c = 4.708 Å
α = 90.00°, β = 90.00°, γ = 90.00°
Space group Pm-3m (No. 221)
Asymmetric unit:
Zr 0.000 0.000 0.000 [1 per cell]
Mo 0.000 0.000 0.500 [3 per cell]
As 0.500 0.500 0.500 [1 per cell]

density	7.2	g/cm³
E_tot	-7.75	eV per atom
total magnetic moment	0.00	μB per atom



# 18
Computed, not measured: crystalline ZrMo2As2 at its relaxed geometry at the PBEsol level of DFT.

a = 4.210 Å, b = 4.210 Å, c = 9.914 Å
α = 90.00°, β = 90.00°, γ = 90.00°
Space group I4/mmm (No. 139)
Asymmetric unit:
Zr 0.000 0.000 0.000 [2 per cell]
Mo 0.000 0.500 0.250 [4 per cell]
As 0.000 0.000 0.377 [4 per cell]

density	8.2	g/cm³
E_tot	-8.73	eV per atom
total magnetic moment	0.00	μB per atom



# 19
Computed, not measured: crystalline NaAsN2O at its relaxed geometry at the PBEsol level of DFT.

a = 3.727 Å, b = 3.727 Å, c = 3.858 Å
α = 90.00°, β = 90.00°, γ = 90.00°
Space group P4/mmm (No. 123)
Asymmetric unit:
Na 0.000 0.000 0.000 [1 per cell]
As 0.500 0.500 0.500 [1 per cell]
N 0.000 0.500 0.500 [2 per cell]
O 0.500 0.500 0.000 [1 per cell]

density	4.4	g/cm³
total magnetic moment	0.24	μB per atom
formation energy from raw total energies	0.39	eV per atom



# 20
Computed, not measured: crystalline NaAsOs2N at its relaxed geometry at the PBEsol level of DFT.

a = 4.509 Å, b = 4.509 Å, c = 5.709 Å
α = 90.00°, β = 90.00°, γ = 90.00°
Space group P4/mmm (No. 123)
Asymmetric unit:
Na 0.000 0.000 0.000 [1 per cell]
As 0.000 0.000 0.500 [1 per cell]
Os 0.000 0.500 0.500 [2 per cell]
N 0.500 0.500 0.000 [1 per cell]

density	7.0	g/cm³
total magnetic moment	0.99	μB per atom
formation energy from raw total energies	2.35	eV per atom